Density functional theory data (PBE) for a relaxed SrTaCo2H8 crystal.

Cell and atoms, written as POSCAR:
```
SrTaCo2H8
1.0
2.2538 1.3012 5.7560
-2.2538 1.3012 5.7560
0.0000 -2.6025 5.7560
Sr Ta Co H
1 1 2 8
direct
0.0000 0.0000 0.0000
0.5000 0.5000 0.5000
0.2152 0.2152 0.2152
0.7848 0.7848 0.7848
0.1119 0.5619 0.5619
0.3014 0.3014 0.3014
0.4381 0.4381 0.8881
0.4381 0.8881 0.4381
0.5619 0.1119 0.5619
0.5619 0.5619 0.1119
0.6986 0.6986 0.6986
0.8881 0.4381 0.4381
```

Computed properties:
**Total energy**: -4.662 eV per atom